# 1
{
  "formula": "CaPu5As6",
  "functional": "PBE",
  "state": "optimized geometry",
  "energy_ev_per_fu": -113.6,
  "magnetic_moment_mub_per_fu": 14.8,
  "space_group": "C2/m, No. 12",
  "e_form_ev_per_fu": -12.04,
  "cell": [[7.109, 0.178, 1.082], [1.752, 6.030, 3.516], [0.121, 0.062, 7.197]],
  "species": ["As", "As", "As", "As", "As", "As", "Pu", "Pu", "Pu", "Pu", "Pu", "Ca"],
  "frac_coords": [[0.254, 0.916, 0.656], [0.746, 0.084, 0.344], [0.746, 0.427, 0.656], [0.254, 0.573, 0.344], [0.253, 0.257, 0.000], [0.747, 0.743, 0.000], [0.500, 0.836, 0.327], [0.000, 0.333, 0.334], [0.500, 0.500, 0.000], [0.500, 0.164, 0.673], [0.000, 0.667, 0.666], [0.000, 0.000, 0.000]]
}

---

# 2
{
  "formula": "CaPuAs",
  "functional": "PBE",
  "state": "optimized geometry",
  "energy_ev_per_fu": -22.6,
  "magnetic_moment_mub_per_fu": 6.7,
  "space_group": "F-43m, No. 216",
  "e_form_ev_per_fu": -1.65,
  "cell": [[-4.594, -1.131, -1.464], [-0.938, -0.832, -4.791], [-1.044, -4.583, -1.559]],
  "species": ["Pu", "Ca", "As"],
  "frac_coords": [[0.000, 0.000, 0.000], [0.500, 0.500, 0.500], [0.250, 0.250, 0.250]]
}

---

# 3
{
  "formula": "Ca5PuAs5",
  "functional": "PBE",
  "state": "optimized geometry",
  "energy_ev_per_fu": -58.8,
  "magnetic_moment_mub_per_fu": 3.3,
  "space_group": "C2/m, No. 12",
  "e_form_ev_per_fu": -11.22,
  "cell": [[-4.627, 3.381, 1.190], [-0.580, -6.854, 2.824], [4.668, 4.487, 5.398]],
  "species": ["Ca", "Ca", "Ca", "Ca", "Ca", "As", "As", "As", "As", "As", "Pu"],
  "frac_coords": [[0.312, 0.624, 0.675], [0.688, 0.376, 0.325], [0.000, 0.000, 0.500], [0.320, 0.640, 0.142], [0.680, 0.360, 0.858], [0.852, 0.704, 0.172], [0.500, 0.000, 0.000], [0.841, 0.683, 0.676], [0.148, 0.296, 0.828], [0.159, 0.317, 0.324], [0.000, 0.000, 0.000]]
}

---

# 4
{
  "formula": "CaPuAs2",
  "functional": "PBE",
  "state": "optimized geometry",
  "energy_ev_per_fu": -29.8,
  "magnetic_moment_mub_per_fu": 4.0,
  "de_polymorph_mev_per_atom": 0.0,
  "space_group": "R-3m, No. 166",
  "e_form_ev_per_fu": -4.14,
  "cell": [[-3.863, 0.954, -1.346], [-3.315, -0.648, 2.498], [-1.723, 6.361, 2.897]],
  "species": ["Ca", "As", "As", "Pu"],
  "frac_coords": [[0.500, 0.500, 0.500], [0.257, 0.257, 0.228], [0.743, 0.743, 0.772], [0.000, 0.000, 0.000]]
}